No. 1
An optimized crystal structure of HfUAu, computed with PBE.

Summary:
E: -22.479 eV/f.u.
energy relative to the lowest polymorph listed for this composition: 0 meV per atom
energy of formation from the pure elements: 2.04 eV per formula unit

Lattice parameters (Å, degrees): 6.6346 6.6346 6.6346 90.00 90.00 90.00
Last column: nearest neighbours and their distance in Å.
Atoms (fractional coordinates):
1 Hf 0.0000 0.0000 0.0000  4 Au 2.87, 4 U 2.87
2 Hf 0.0000 0.5000 0.5000  4 Au 2.87, 4 U 2.87
3 Hf 0.5000 0.0000 0.5000  4 Au 2.87, 4 U 2.87
4 Hf 0.5000 0.5000 0.0000  4 Au 2.87, 4 U 2.87
5 U 0.2500 0.2500 0.2500  4 Hf 2.87
6 U 0.2500 0.7500 0.7500  4 Hf 2.87
7 U 0.7500 0.2500 0.7500  4 Hf 2.87
8 U 0.7500 0.7500 0.2500  4 Hf 2.87
9 Au 0.2500 0.2500 0.7500  4 Hf 2.87
10 Au 0.2500 0.7500 0.2500  4 Hf 2.87
11 Au 0.7500 0.2500 0.2500  4 Hf 2.87
12 Au 0.7500 0.7500 0.7500  4 Hf 2.87


No. 2
An optimized crystal structure of HfUAu, computed with PBE.

Summary:
E: -22.069 eV/f.u.
energy relative to the lowest polymorph listed for this composition: 137 meV per atom
energy of formation from the pure elements: 2.45 eV per formula unit

Lattice parameters (Å, degrees): 6.7148 6.7148 6.7148 90.00 90.00 90.00
Last column: nearest neighbours and their distance in Å.
Atoms (fractional coordinates):
1 Hf 0.0000 0.0000 0.0000  4 U 2.91
2 Hf 0.0000 0.5000 0.5000  4 U 2.91
3 Hf 0.5000 0.0000 0.5000  4 U 2.91
4 Hf 0.5000 0.5000 0.0000  4 U 2.91
5 U 0.2500 0.2500 0.7500  4 Hf 2.91, 4 Au 2.91
6 U 0.2500 0.7500 0.2500  4 Hf 2.91, 4 Au 2.91
7 U 0.7500 0.2500 0.2500  4 Hf 2.91, 4 Au 2.91
8 U 0.7500 0.7500 0.7500  4 Hf 2.91, 4 Au 2.91
9 Au 0.0000 0.0000 0.5000  4 U 2.91
10 Au 0.0000 0.5000 0.0000  4 U 2.91
11 Au 0.5000 0.0000 0.0000  4 U 2.91
12 Au 0.5000 0.5000 0.5000  4 U 2.91


No. 3
An optimized crystal structure of HfWAu, computed with PBE.

Summary:
E: -23.959 eV/f.u.
energy relative to the lowest polymorph listed for this composition: 0 meV per atom
energy of formation from the pure elements: 2.22 eV per formula unit

Lattice parameters (Å, degrees): 6.3263 6.3263 6.3263 90.00 90.00 90.00
Last column: nearest neighbours and their distance in Å.
Atoms (fractional coordinates):
1 Hf 0.0000 0.0000 0.0000  4 Au 2.74
2 Hf 0.0000 0.5000 0.5000  4 Au 2.74
3 Hf 0.5000 0.0000 0.5000  4 Au 2.74
4 Hf 0.5000 0.5000 0.0000  4 Au 2.74
5 W 0.0000 0.0000 0.5000  4 Au 2.74
6 W 0.0000 0.5000 0.0000  4 Au 2.74
7 W 0.5000 0.0000 0.0000  4 Au 2.74
8 W 0.5000 0.5000 0.5000  4 Au 2.74
9 Au 0.2500 0.2500 0.2500  4 Hf 2.74, 4 W 2.74
10 Au 0.2500 0.7500 0.7500  4 Hf 2.74, 4 W 2.74
11 Au 0.7500 0.2500 0.7500  4 Hf 2.74, 4 W 2.74
12 Au 0.7500 0.7500 0.2500  4 Hf 2.74, 4 W 2.74


No. 4
An optimized crystal structure of Y2HfAu, computed with PBE.

Summary:
E: -26.034 eV/f.u.
energy of formation from the pure elements: 0.12 eV per formula unit

Lattice parameters (Å, degrees): 7.2275 7.2275 7.2275 90.00 90.00 90.00
Last column: nearest neighbours and their distance in Å.
Atoms (fractional coordinates):
1 Y 0.0000 0.0000 0.0000  4 Y 3.13, 4 Au 3.13
2 Y 0.0000 0.5000 0.5000  4 Y 3.13, 4 Au 3.13
3 Y 0.2500 0.2500 0.2500  4 Hf 3.13, 4 Y 3.13
4 Y 0.2500 0.7500 0.7500  4 Hf 3.13, 4 Y 3.13
5 Y 0.5000 0.0000 0.5000  4 Y 3.13, 4 Au 3.13
6 Y 0.5000 0.5000 0.0000  4 Y 3.13, 4 Au 3.13
7 Y 0.7500 0.2500 0.7500  4 Hf 3.13, 4 Y 3.13
8 Y 0.7500 0.7500 0.2500  4 Hf 3.13, 4 Y 3.13
9 Hf 0.0000 0.0000 0.5000  4 Y 3.13, 4 Au 3.13
10 Hf 0.0000 0.5000 0.0000  4 Y 3.13, 4 Au 3.13
11 Hf 0.5000 0.0000 0.0000  4 Y 3.13, 4 Au 3.13
12 Hf 0.5000 0.5000 0.5000  4 Y 3.13, 4 Au 3.13
13 Au 0.2500 0.2500 0.7500  4 Hf 3.13, 4 Y 3.13
14 Au 0.2500 0.7500 0.2500  4 Hf 3.13, 4 Y 3.13
15 Au 0.7500 0.2500 0.2500  4 Hf 3.13, 4 Y 3.13
16 Au 0.7500 0.7500 0.7500  4 Hf 3.13, 4 Y 3.13


No. 5
An optimized crystal structure of YHfAu2, computed with PBE.

Summary:
E: -23.783 eV/f.u.
energy of formation from the pure elements: -0.83 eV per formula unit

Lattice parameters (Å, degrees): 6.8563 6.8563 6.8563 90.00 90.00 90.00
Last column: nearest neighbours and their distance in Å.
Atoms (fractional coordinates):
1 Y 0.0000 0.0000 0.0000  4 Hf 2.97, 4 Au 2.97
2 Y 0.0000 0.5000 0.5000  4 Hf 2.97, 4 Au 2.97
3 Y 0.5000 0.0000 0.5000  4 Hf 2.97, 4 Au 2.97
4 Y 0.5000 0.5000 0.0000  4 Hf 2.97, 4 Au 2.97
5 Hf 0.2500 0.2500 0.7500  4 Y 2.97, 4 Au 2.97
6 Hf 0.2500 0.7500 0.2500  4 Y 2.97, 4 Au 2.97
7 Hf 0.7500 0.2500 0.2500  4 Y 2.97, 4 Au 2.97
8 Hf 0.7500 0.7500 0.7500  4 Y 2.97, 4 Au 2.97
9 Au 0.0000 0.0000 0.5000  4 Au 2.97, 4 Hf 2.97
10 Au 0.0000 0.5000 0.0000  4 Au 2.97, 4 Hf 2.97
11 Au 0.2500 0.2500 0.2500  4 Y 2.97, 4 Au 2.97
12 Au 0.2500 0.7500 0.7500  4 Y 2.97, 4 Au 2.97
13 Au 0.5000 0.0000 0.0000  4 Au 2.97, 4 Hf 2.97
14 Au 0.5000 0.5000 0.5000  4 Au 2.97, 4 Hf 2.97
15 Au 0.7500 0.2500 0.7500  4 Y 2.97, 4 Au 2.97
16 Au 0.7500 0.7500 0.2500  4 Y 2.97, 4 Au 2.97


No. 6
An optimized crystal structure of YHf2Au, computed with PBE.

Summary:
E: -29.644 eV/f.u.
energy of formation from the pure elements: 0.00 eV per formula unit

Lattice parameters (Å, degrees): 7.0778 7.0778 7.0778 90.00 90.00 90.00
Last column: nearest neighbours and their distance in Å.
Atoms (fractional coordinates):
1 Y 0.0000 0.0000 0.0000  4 Au 3.06, 4 Hf 3.06
2 Y 0.0000 0.5000 0.5000  4 Au 3.06, 4 Hf 3.06
3 Y 0.5000 0.0000 0.5000  4 Au 3.06, 4 Hf 3.06
4 Y 0.5000 0.5000 0.0000  4 Au 3.06, 4 Hf 3.06
5 Hf 0.0000 0.0000 0.5000  4 Hf 3.06, 4 Au 3.06
6 Hf 0.0000 0.5000 0.0000  4 Hf 3.06, 4 Au 3.06
7 Hf 0.2500 0.2500 0.7500  4 Hf 3.06, 4 Y 3.06
8 Hf 0.2500 0.7500 0.2500  4 Hf 3.06, 4 Y 3.06
9 Hf 0.5000 0.0000 0.0000  4 Hf 3.06, 4 Au 3.06
10 Hf 0.5000 0.5000 0.5000  4 Hf 3.06, 4 Au 3.06
11 Hf 0.7500 0.2500 0.2500  4 Hf 3.06, 4 Y 3.06
12 Hf 0.7500 0.7500 0.7500  4 Hf 3.06, 4 Y 3.06
13 Au 0.2500 0.2500 0.2500  4 Hf 3.06, 4 Y 3.06
14 Au 0.2500 0.7500 0.7500  4 Hf 3.06, 4 Y 3.06
15 Au 0.7500 0.2500 0.7500  4 Hf 3.06, 4 Y 3.06
16 Au 0.7500 0.7500 0.2500  4 Hf 3.06, 4 Y 3.06


No. 7
An optimized crystal structure of HfZnAu, computed with PBE.

Summary:
E: -14.200 eV/f.u.
energy of formation from the pure elements: 0.29 eV per formula unit

Lattice parameters (Å, degrees): 6.3682 6.3682 6.3682 90.00 90.00 90.00
Last column: nearest neighbours and their distance in Å.
Atoms (fractional coordinates):
1 Hf 0.0000 0.0000 0.0000  4 Zn 2.76, 4 Au 2.76
2 Hf 0.0000 0.5000 0.5000  4 Zn 2.76, 4 Au 2.76
3 Hf 0.5000 0.0000 0.5000  4 Zn 2.76, 4 Au 2.76
4 Hf 0.5000 0.5000 0.0000  4 Zn 2.76, 4 Au 2.76
5 Zn 0.2500 0.2500 0.2500  4 Hf 2.76
6 Zn 0.2500 0.7500 0.7500  4 Hf 2.76
7 Zn 0.7500 0.2500 0.7500  4 Hf 2.76
8 Zn 0.7500 0.7500 0.2500  4 Hf 2.76
9 Au 0.2500 0.2500 0.7500  4 Hf 2.76
10 Au 0.2500 0.7500 0.2500  4 Hf 2.76
11 Au 0.7500 0.2500 0.2500  4 Hf 2.76
12 Au 0.7500 0.7500 0.7500  4 Hf 2.76


No. 8
An optimized crystal structure of HfZnAu, computed with PBE.

Summary:
E: -15.118 eV/f.u.
energy of formation from the pure elements: -0.63 eV per formula unit

Lattice parameters (Å, degrees): 6.2802 6.2802 6.2802 90.00 90.00 90.00
Last column: nearest neighbours and their distance in Å.
Atoms (fractional coordinates):
1 Hf 0.0000 0.0000 0.0000  4 Au 2.72
2 Hf 0.0000 0.5000 0.5000  4 Au 2.72
3 Hf 0.5000 0.0000 0.5000  4 Au 2.72
4 Hf 0.5000 0.5000 0.0000  4 Au 2.72
5 Zn 0.0000 0.0000 0.5000  4 Au 2.72
6 Zn 0.0000 0.5000 0.0000  4 Au 2.72
7 Zn 0.5000 0.0000 0.0000  4 Au 2.72
8 Zn 0.5000 0.5000 0.5000  4 Au 2.72
9 Au 0.2500 0.2500 0.2500  4 Hf 2.72, 4 Zn 2.72
10 Au 0.2500 0.7500 0.7500  4 Hf 2.72, 4 Zn 2.72
11 Au 0.7500 0.2500 0.7500  4 Hf 2.72, 4 Zn 2.72
12 Au 0.7500 0.7500 0.2500  4 Hf 2.72, 4 Zn 2.72